# Ho2ScVO6

A relaxed Ho2ScVO6 crystal (PBE with a Hubbard U, Alexandria).

The calculated total energy is -8.45 eV per atom. The size of the total moment comes out at 2.0 μB/f.u.

The structure belongs to space group R3 (No. 146, hexagonal axes); the cell edges are 5.5211, 5.5211 and 14.3423 Å and the angles 90.00°, 90.00° and 120.00°. The asymmetric unit holds Ho at (0.0000, 0.0000, 0.0000), Ho at (0.0000, 0.0000, 0.4964), Sc at (0.0000, 0.0000, 0.2178), V at (0.0000, 0.0000, 0.7140), O at (0.0596, 0.3496, 0.7833) and O at (0.0649, 0.7058, 0.2850).